# YSi

A relaxed YSi crystal (GGA-PBE, Alexandria via LeMat-Bulk).

Lattice parameters (Å, degrees): 9.4090 9.4090 3.8793 90.00 90.00 120.00
Space group P6_3/mmc (No. 194)
Asymmetric unit:
Y 0.1887 0.3774 0.2500
Si 0.0921 0.5460 0.7500

Formation energy (no corrections): -0.41 eV/atom
Electronic total energy: -6.3495 eV/atom